No. 1
Compound: ZrPd2Pt8
Source: Alexandria
Functional: GGA-PBE
Structure: relaxed

Cell: 3.9742 6.3499 7.5003 Å, 104.68 105.36 90.00°
Fractional positions:
Pt: 0.9535 0.2752 0.9071
Pt: 0.3177 0.0874 0.6355
Pt: 0.4092 0.5545 0.8185
Pt: 0.6823 0.9126 0.3645
Pd: 0.2243 0.6318 0.4486
Pt: 0.5908 0.4455 0.1815
Zr: 0.5000 0.0000 0.0000
Pt: 0.8651 0.8216 0.7301
Pd: 0.7757 0.3682 0.5514
Pt: 0.1349 0.1784 0.2699
Pt: 0.0465 0.7248 0.0929

Results
Formation energy from the elements, kJ per mole of atoms: -38.99
Volume, Å³ per atom: 16.01
Density of states at the Fermi level, states/eV/f.u.: 14.9
Spin magnetization, μB/f.u.: 0.00
Space-group type: C2/m

No. 2
Compound: DyCdNiIr
Source: Alexandria
Functional: GGA-PBE
Structure: relaxed

Cell: 4.6702 4.6702 4.6702 Å, 60.00 60.00 60.00°
Fractional positions:
Ir: 0.0000 0.0000 0.0000
Cd: 0.7500 0.7500 0.7500
Ni: 0.5000 0.5000 0.5000
Dy: 0.2500 0.2500 0.2500

Results
Formation energy from the elements, kJ per mole of atoms: -28.39
Volume, Å³ per atom: 18.01
Density of states at the Fermi level, states/eV/f.u.: 1.9
Spin magnetization, μB/f.u.: 0.00
Space-group type: F-43m

No. 3
Compound: CaPrAu2
Source: Alexandria
Functional: GGA-PBE
Structure: relaxed

Cell: 4.3280 4.3280 7.5018 Å, 73.23 73.23 60.00°
Fractional positions:
Ca: 0.5000 0.5000 0.5000
Au: 0.7505 0.7505 0.7484
Au: 0.2495 0.2495 0.2516
Pr: 0.0000 0.0000 0.0000

Results
Formation energy from the elements, kJ per mole of atoms: -67.72
Volume, Å³ per atom: 28.69
Density of states at the Fermi level, states/eV/f.u.: 2.3
Spin magnetization, μB/f.u.: 0.00
Space-group type: R-3m

No. 4
Compound: CaCuSi2
Source: Alexandria
Functional: GGA-PBE
Structure: relaxed

Cell: 4.0466 10.4860 13.6262 Å, 90.00 90.00 90.00°
Fractional positions:
Si: 0.7500 0.9698 0.6266
Cu: 0.7500 0.1888 0.6972
Cu: 0.7500 0.9502 0.4477
Si: 0.7500 0.7285 0.2138
Cu: 0.7500 0.3112 0.1972
Si: 0.7500 0.7715 0.7138
Si: 0.2500 0.2715 0.7862
Si: 0.7500 0.5414 0.4713
Si: 0.2500 0.2358 0.1135
Ca: 0.7500 0.2548 0.9473
Cu: 0.2500 0.0498 0.5523
Si: 0.2500 0.4698 0.8734
Si: 0.2500 0.2285 0.2862
Si: 0.2500 0.0302 0.3734
Si: 0.7500 0.7642 0.8865
Si: 0.2500 0.2642 0.6135
Si: 0.2500 0.4586 0.5287
Ca: 0.7500 0.2452 0.4473
Si: 0.7500 0.7358 0.3865
Ca: 0.2500 0.9837 0.7970
Ca: 0.2500 0.5163 0.2970
Ca: 0.7500 0.4837 0.7030
Ca: 0.2500 0.7548 0.5527
Cu: 0.2500 0.6888 0.8028
Si: 0.2500 0.0414 0.0287
Cu: 0.7500 0.5498 0.9477
Si: 0.7500 0.5302 0.1266
Cu: 0.2500 0.8112 0.3028
Si: 0.7500 0.9586 0.9713
Ca: 0.7500 0.0163 0.2030
Cu: 0.2500 0.4502 0.0523
Ca: 0.2500 0.7452 0.0527

Results
Volume, Å³ per atom: 18.07
Density of states at the Fermi level, states/eV/f.u.: 1.1
Spin magnetization, μB/f.u.: 0.00
Uncorrected formation energy, eV per atom: -0.377
Space-group type: Pnma

No. 5
Compound: AcUC2
Source: Alexandria
Functional: GGA-PBE
Structure: relaxed

Cell: 3.6858 3.6858 6.5501 Å, 73.66 73.66 60.00°
Fractional positions:
C: 0.7250 0.7250 0.8249
C: 0.2750 0.2750 0.1751
Ac: 0.5000 0.5000 0.5000
U: 0.0000 0.0000 0.0000

Results
E above lowest polymorph, eV/atom: 0.000
Formation energy from the elements, kJ per mole of atoms: 1.34
Volume, Å³ per atom: 18.22
Density of states at the Fermi level, states/eV/f.u.: 3.1
Spin magnetization, μB/f.u.: 0.00
Space-group type: R-3m

No. 6
Compound: Sb3P
Source: Alexandria
Functional: GGA-PBE
Structure: relaxed

Cell: 8.0679 8.0679 7.4747 Å, 90.00 90.00 120.00°
Fractional positions:
P: 0.0000 0.0000 0.0000
Sb: 0.8493 0.1507 0.2500
P: 0.3333 0.6667 0.2500
Sb: 0.3015 0.1507 0.2500
Sb: 0.5000 0.5000 0.0000
P: 0.6667 0.3333 0.7500
Sb: 0.5000 0.0000 0.0000
P: 0.0000 0.0000 0.5000
Sb: 0.1507 0.3015 0.7500
Sb: 0.5000 0.5000 0.5000
Sb: 0.1507 0.8493 0.7500
Sb: 0.0000 0.5000 0.5000
Sb: 0.6985 0.8493 0.7500
Sb: 0.8493 0.6985 0.2500
Sb: 0.0000 0.5000 0.0000
Sb: 0.5000 0.0000 0.5000

Results
E above lowest polymorph, eV/atom: 0.126
Volume, Å³ per atom: 26.33
Density of states at the Fermi level, states/eV/f.u.: 1.8
Spin magnetization, μB/f.u.: 0.00
Uncorrected formation energy, eV per atom: 0.234
Space-group type: P6_3/mmc

No. 7
Compound: KNdMnN3
Source: Alexandria
Functional: GGA-PBE
Structure: relaxed

Cell: 3.7318 7.0295 7.8504 Å, 104.89 90.00 105.39°
Fractional positions:
N: 0.5120 0.0240 0.3349
Mn: 0.0039 0.0079 0.3343
Nd: 0.6611 0.3223 0.5865
N: 0.8776 0.7552 0.2096
N: 0.1526 0.3052 0.3694
K: 0.6328 0.2655 0.0731
N: 0.4880 0.9760 0.6651
N: 0.1224 0.2448 0.7904
K: 0.3672 0.7345 0.9269
Mn: 0.9961 0.9921 0.6657
Nd: 0.3389 0.6777 0.4135
N: 0.8474 0.6948 0.6306

Results
Volume, Å³ per atom: 15.95
Density of states at the Fermi level, states/eV/f.u.: 2.1
Spin magnetization, μB/f.u.: 0.00
Uncorrected formation energy, eV per atom: -0.328
Space-group type: C2/m

No. 8
Compound: TlGa2Mo
Source: Alexandria
Functional: GGA-PBE
Structure: relaxed

Cell: 4.7348 4.7348 4.7348 Å, 60.00 60.00 60.00°
Each line ends with the local moment (μB).
Fractional positions:
Ga: 0.7500 0.7500 0.7500  0.00
Ga: 0.2500 0.2500 0.2500  0.00
Mo: 0.0000 0.0000 0.0000  0.72
Tl: 0.5000 0.5000 0.5000  0.02

Results
E above lowest polymorph, eV/atom: 0.111
Formation energy from the elements, kJ per mole of atoms: 65.31
Volume, Å³ per atom: 18.76
Density of states at the Fermi level, states/eV/f.u.: 3.7
Spin magnetization, μB/f.u.: 0.89
Space-group type: Fm-3m

Q: Number 6 is which compound?
A: Sb3P

Q: Which of these has the highest density of states at the Fermi level?
A: ZrPd2Pt8

Q: What is the spin magnetization in the eighth record?
A: 0.89 μB/f.u.